Record 1
The following is a DFT calculation (PBE) of Ti2MoC2 after structural relaxation.

Geometry as POSCAR:
```
Ti2MoC2
1.0
-3.107 3.687 3.372
-4.772 -3.366 -0.718
0.788 -1.659 2.540
Mo C Ti
2 4 4
direct
0.000 0.000 0.000
0.500 0.500 0.000
0.355 0.855 0.000
0.855 0.645 0.000
0.645 0.145 0.000
0.145 0.355 0.000
0.162 0.662 0.500
0.662 0.838 0.500
0.838 0.338 0.500
0.338 0.162 0.500
```

Computed properties:
Total moment, Bohr magnetons per cell: 0.00
SG: P4/mbm, No. 127
Total energy, eV per atom: -9.4260
Formation energy from the elements, eV/atom: -0.41



Record 2
The following is a DFT calculation (PBE) of UTiMoC3 after structural relaxation.

Geometry as POSCAR:
```
UTiMoC3
1.0
-2.533 1.800 0.732
-1.736 -3.862 3.487
4.799 4.774 4.866
U Ti Mo C
2 2 2 6
direct
0.750 0.647 0.700
0.250 0.353 0.300
0.250 0.774 0.053
0.750 0.226 0.947
0.250 0.125 0.636
0.750 0.875 0.364
0.250 0.740 0.490
0.750 0.045 0.156
0.750 0.559 0.162
0.750 0.260 0.510
0.250 0.441 0.838
0.250 0.955 0.844
```

Computed properties:
Total moment, Bohr magnetons per cell: 0.00
SG: P2_1/m, No. 11
Total energy, eV per atom: -9.9883
Formation energy from the elements, eV/atom: -0.37



Record 3
The following is a DFT calculation (PBE) of Ti2ZnMoC after structural relaxation.

Geometry as POSCAR:
```
Ti2ZnMoC
1.0
4.189 0.000 0.000
0.000 4.189 0.000
0.000 0.000 4.093
C Mo Zn Ti
1 1 1 2
direct
0.000 0.000 0.000
0.000 0.000 0.500
0.500 0.500 0.500
0.000 0.500 0.000
0.500 0.000 0.000
```

Computed properties:
Total moment, Bohr magnetons per cell: 0.00
SG: P4/mmm, No. 123
Total energy, eV per atom: -7.7225
Formation energy from the elements, eV/atom: -0.30